YNbCu3 | PBE | optimized geometry

Lattice parameters (Å, degrees): 4.707 4.707 4.707 90.00 90.00 90.00
Sites, in units of the cell vectors:
Y1 0.000 0.000 0.000
Nb1 0.500 0.500 0.500
Cu1 0.000 0.000 0.500
Cu2 0.000 0.500 0.000
Cu3 0.500 0.000 0.000

Properties
Size of the total moment (μB/cell): 0.0
ΔH_f (0 K) (eV/atom): 1.47
E above lowest polymorph (meV per atom): 750
Space-group type: No. 221



Dy3Ni7Ge4 | PBE | optimized geometry

Lattice parameters (Å, degrees): 7.716 7.716 8.850 124.25 124.25 30.31
Sites, in units of the cell vectors:
Dy1 0.000 0.000 0.000
Dy2 0.318 0.318 0.312
Dy3 0.682 0.682 0.688
Ni1 0.000 0.000 0.500
Ni2 0.128 0.128 0.855
Ni3 0.319 0.319 0.682
Ni4 0.498 0.498 0.714
Ni5 0.502 0.502 0.286
Ni6 0.681 0.681 0.318
Ni7 0.872 0.872 0.145
Ge1 0.122 0.122 0.400
Ge2 0.332 0.332 0.971
Ge3 0.668 0.668 0.029
Ge4 0.878 0.878 0.600

Properties
Size of the total moment (μB/cell): 0.0
ΔH_f (0 K) (eV/atom): -0.61
Space-group type: No. 12



Hf2POsBr | PBE | optimized geometry

Lattice parameters (Å, degrees): 4.995 4.995 4.253 90.00 90.00 90.00
Sites, in units of the cell vectors:
Hf1 0.000 0.500 0.000
Hf2 0.500 0.000 0.000
P1 0.000 0.000 0.000
Os1 0.000 0.000 0.500
Br1 0.500 0.500 0.500

Properties
Size of the total moment (μB/cell): 0.0
ΔE_f (raw) (eV/atom): 0.282
Space-group type: No. 123



ErTmScTi | PBE | optimized geometry

Lattice parameters (Å, degrees): 5.250 5.250 5.250 60.00 60.00 60.00
Sites, in units of the cell vectors:
Er1 0.000 0.000 0.000
Tm1 0.500 0.500 0.500
Sc1 0.750 0.750 0.750
Ti1 0.250 0.250 0.250

Properties
Size of the total moment (μB/cell): 3.1
ΔH_f (0 K) (eV/atom): 0.21
Space-group type: No. 216